# CrPbO2F

CrPbO2F after structural relaxation (GGA+U, Alexandria).

Structure (extended XYZ):
```
5
Lattice="4.259 0.000 0.000 0.000 4.259 0.000 0.000 0.000 4.437" Properties=species:S:1:pos:R:3 pbc="T T T"
Cr 2.130 2.130 2.219
O 0.000 2.130 0.000
F 0.000 0.000 2.219
Pb 0.000 0.000 0.000
O 2.130 0.000 0.000
```

Calculated values
Crystal system: tetragonal
Final energy (eV for the cell shown): -26.82
Fermi-level density of states (states/eV/atom): 0.829